No. 1
VASP calculation (PBE-GGA) on crystalline RbIr3Os at its relaxed geometry.

The space group is Pm-3m (No. 221) and the conventional cell measures 4.681, 4.681 and 4.681 Å, with angles of 90.00, 90.00 and 90.00 degrees. The distinct sites, in fractional coordinates, are Rb at (0.000, 0.000, 0.000), Ir at (0.000, 0.000, 0.500) and Os at (0.500, 0.500, 0.500).

The value obtained for the density of states at the Fermi level is 9.01 states/eV/cell. The value obtained for the volume is 20.52 Å³ per atom. For the mass density, the calculation gives 13.795 g cm⁻³. As for the energy above the most stable polymorph in this dataset: 2481 meV per atom. The calculation puts the formation energy at 3.929 eV/atom. The value obtained for the total energy is -0.141 hartree per atom.


No. 2
VASP calculation (PBE-GGA) on crystalline PW at its relaxed geometry.

The space group is Imma (No. 74) and the conventional cell measures 2.973, 4.100 and 9.749 Å, with angles of 90.00, 90.00 and 90.00 degrees. The distinct sites, in fractional coordinates, are P at (0.000, 0.250, 0.100) and W at (0.000, 0.250, 0.611).

The value obtained for the density of states at the Fermi level is 3.91 states/eV/cell. The value obtained for the volume is 14.86 Å³ per atom. For the mass density, the calculation gives 12.006 g cm⁻³. The calculation puts the formation energy at 0.023 eV/atom. The value obtained for the total energy is -0.337 hartree per atom.


No. 3
VASP calculation (PBE-GGA) on crystalline NdAs2 at its relaxed geometry.

The space group is C2/m (No. 12) and the conventional cell measures 5.716, 5.719 and 5.429 Å, with angles of 90.00, 121.66 and 90.00 degrees. The distinct sites, in fractional coordinates, are Nd at (0.000, 0.000, 0.000) and As at (0.132, 0.500, 0.266).

The value obtained for the density of states at the Fermi level is 5.07 states/eV/cell. The value obtained for the volume is 25.18 Å³ per atom. For the mass density, the calculation gives 6.466 g cm⁻³. The calculation puts the formation energy at -0.764 eV/atom. The value obtained for the total energy is -0.200 hartree per atom.


No. 4
VASP calculation (PBE-GGA) on crystalline Sr2TmAg at its relaxed geometry.

The space group is R-3m (No. 166, hexagonal axes) and the conventional cell measures 3.8249, 3.8249 and 35.6495 Å, with angles of 90.00, 90.00 and 120.00 degrees. The distinct sites, in fractional coordinates, are Sr at (0.0000, 0.0000, 0.1002), Tm at (0.0000, 0.0000, 0.0000) and Ag at (0.0000, 0.0000, 0.5000).

The value obtained for the density of states at the Fermi level is 13.34 states/eV/cell. The value obtained for the volume is 37.64 Å³ per atom. For the mass density, the calculation gives 4.986 g cm⁻³. The calculation puts the formation energy at 0.289 eV/atom. The value obtained for the total energy is -0.088 hartree per atom.


No. 5
VASP calculation (PBE-GGA) on crystalline MnBeSe2 at its relaxed geometry.

The space group is Pnma (No. 62) and the conventional cell measures 9.042, 3.620 and 11.546 Å, with angles of 90.00, 90.00 and 90.00 degrees. The distinct sites, in fractional coordinates, are Mn at (0.035, 0.250, 0.062), Be at (0.081, 0.750, 0.189), Se at (0.009, 0.250, 0.272) and Se at (0.207, 0.750, 0.020).

The value obtained for the density of states at the Fermi level is 6.77 states/eV/cell. The value obtained for the volume is 23.62 Å³ per atom. For the mass density, the calculation gives 3.900 g cm⁻³. The value obtained for the total energy is -0.193 hartree per atom.


No. 6
VASP calculation (PBE-GGA) on crystalline SmSnHgAu at its relaxed geometry.

The space group is I-4m2 (No. 119) and the conventional cell measures 4.816, 4.816 and 8.286 Å, with angles of 90.00, 90.00 and 90.00 degrees. The distinct sites, in fractional coordinates, are Sm at (0.000, 0.000, 0.000), Sn at (0.000, 0.000, 0.500), Hg at (0.000, 0.500, 0.750) and Au at (0.000, 0.500, 0.250).

The value obtained for the density of states at the Fermi level is 2.48 states/eV/cell. The value obtained for the volume is 24.02 Å³ per atom. For the mass density, the calculation gives 11.522 g cm⁻³. As for the energy above the most stable polymorph in this dataset: 0 meV per atom. The calculation puts the formation energy at -0.528 eV/atom. The value obtained for the total energy is -0.132 hartree per atom.


No. 7
VASP calculation (PBE-GGA) on crystalline YMo2Os at its relaxed geometry.

The space group is Cmm2 (No. 35) and the conventional cell measures 3.269, 4.729 and 9.123 Å, with angles of 90.00, 90.00 and 90.00 degrees. The distinct sites, in fractional coordinates, are Y at (0.000, 0.000, 0.000), Mo at (0.000, 0.000, 0.512), Mo at (0.000, 0.500, 0.284) and Os at (0.000, 0.500, 0.739).

The value obtained for the density of states at the Fermi level is 8.10 states/eV/cell. The value obtained for the volume is 17.63 Å³ per atom. For the mass density, the calculation gives 11.093 g cm⁻³. As for the energy above the most stable polymorph in this dataset: 192 meV per atom. The calculation puts the formation energy at 0.375 eV/atom. The value obtained for the total energy is -0.348 hartree per atom.


No. 8
VASP calculation (PBE-GGA) on crystalline LiZnRe2 at its relaxed geometry.

The space group is Pmm2 (No. 25) and the conventional cell measures 2.718, 3.966 and 5.461 Å, with angles of 90.00, 90.00 and 90.00 degrees. The distinct sites, in fractional coordinates, are Li at (0.000, 0.000, 0.000), Zn at (0.500, 0.500, 0.795), Re at (0.000, 0.000, 0.492) and Re at (0.500, 0.500, 0.297).

The value obtained for the density of states at the Fermi level is 3.14 states/eV/cell. The value obtained for the volume is 14.72 Å³ per atom. For the mass density, the calculation gives 12.544 g cm⁻³. The calculation puts the formation energy at 0.199 eV/atom. The value obtained for the total energy is -0.251 hartree per atom.